The following is a DFT calculation (PBE-GGA) of an optimized crystal structure of K4Ag5Te6.

Geometry as CIF:
```
data_K4Ag5Te6
_symmetry_space_group_name_H-M 'C m c m'
_symmetry_Int_Tables_number 63
_symmetry_space_group_name_Hall '-C 2c 2'
_cell_length_a 4.8601
_cell_length_b 21.0644
_cell_length_c 18.8298
_cell_angle_alpha 90.00
_cell_angle_beta 90.00
_cell_angle_gamma 90.00
loop_
_atom_site_label
_atom_site_type_symbol
_atom_site_fract_x
_atom_site_fract_y
_atom_site_fract_z
K1 K 0.0000 0.0112 0.1209
K2 K 0.0000 0.1777 0.5694
Ag1 Ag 0.0000 0.1403 0.2500
Ag2 Ag 0.0000 0.2859 0.2500
Ag3 Ag 0.0000 0.3568 0.6219
Ag4 Ag 0.0000 0.4305 0.2500
Te1 Te 0.0000 0.1324 0.7500
Te2 Te 0.0000 0.2125 0.1206
Te3 Te 0.0000 0.4333 0.0052
Te4 Te 0.0000 0.4382 0.7500
```

Calculated values
V in Å³/cell: 1928
VASP energy in eV/atom: -2.9994
Formation energy (no corrections) in eV/atom: -0.4996